Model 1:
YSb3N: relaxed, PBE.

DOS(E_F), states/eV/atom: 0.445
Mass density, g/cm3: 3.970
Volume, Å³/f.u.: 195.8

CIF file:
```
data_YSb3N
_cell_length_a 5.807
_cell_length_b 5.807
_cell_length_c 5.807
_cell_angle_alpha 90.00
_cell_angle_beta 90.00
_cell_angle_gamma 90.00
_space_group_name_H-M_alt 'P m -3 m'
_space_group_IT_number 221
_space_group_name_Hall '-P 4 2 3'
loop_
_atom_site_label
_atom_site_type_symbol
_atom_site_fract_x
_atom_site_fract_y
_atom_site_fract_z
Y1 Y 0.000 0.000 0.000
Sb1 Sb 0.000 0.000 0.500
N1 N 0.500 0.500 0.500
```


Model 2:
YSb3N: relaxed, PBE.

DOS(E_F), states/eV/atom: 0.520
Mass density, g/cm3: 7.019
Volume, Å³/f.u.: 110.8

CIF file:
```
data_YSb3N
_cell_length_a 4.802
_cell_length_b 4.802
_cell_length_c 4.802
_cell_angle_alpha 90.00
_cell_angle_beta 90.00
_cell_angle_gamma 90.00
_space_group_name_H-M_alt 'P m -3 m'
_space_group_IT_number 221
_space_group_name_Hall '-P 4 2 3'
loop_
_atom_site_label
_atom_site_type_symbol
_atom_site_fract_x
_atom_site_fract_y
_atom_site_fract_z
Y1 Y 0.000 0.000 0.000
Sb1 Sb 0.000 0.500 0.500
N1 N 0.500 0.500 0.500
```


Least stable: model 1


Model 1:
ZrSb3N: relaxed, PBE.

DOS(E_F), states/eV/atom: 0.461
Mass density, g/cm3: 7.494
Volume, Å³/f.u.: 104.3

CIF file:
```
data_ZrSb3N
_cell_length_a 4.707
_cell_length_b 4.707
_cell_length_c 4.707
_cell_angle_alpha 90.00
_cell_angle_beta 90.00
_cell_angle_gamma 90.00
_space_group_name_H-M_alt 'P m -3 m'
_space_group_IT_number 221
_space_group_name_Hall '-P 4 2 3'
loop_
_atom_site_label
_atom_site_type_symbol
_atom_site_fract_x
_atom_site_fract_y
_atom_site_fract_z
Zr1 Zr 0.000 0.000 0.000
Sb1 Sb 0.000 0.500 0.500
N1 N 0.500 0.500 0.500
```


Model 2:
ZrSb3N: relaxed, PBE.

DOS(E_F), states/eV/atom: 0.789
Mass density, g/cm3: 4.580
Volume, Å³/f.u.: 170.6

CIF file:
```
data_ZrSb3N
_cell_length_a 5.546
_cell_length_b 5.546
_cell_length_c 5.546
_cell_angle_alpha 90.00
_cell_angle_beta 90.00
_cell_angle_gamma 90.00
_space_group_name_H-M_alt 'P m -3 m'
_space_group_IT_number 221
_space_group_name_Hall '-P 4 2 3'
loop_
_atom_site_label
_atom_site_type_symbol
_atom_site_fract_x
_atom_site_fract_y
_atom_site_fract_z
Zr1 Zr 0.000 0.000 0.000
Sb1 Sb 0.000 0.000 0.500
N1 N 0.500 0.500 0.500
```


Least stable: model 2


Model 1:
Sc3SeN: relaxed, PBE.

DOS(E_F), states/eV/atom: 0.628
Mass density, g/cm3: 4.580
Volume, Å³/f.u.: 82.6

CIF file:
```
data_Sc3SeN
_cell_length_a 3.474
_cell_length_b 11.148
_cell_length_c 8.533
_cell_angle_alpha 90.00
_cell_angle_beta 90.00
_cell_angle_gamma 90.00
_space_group_name_H-M_alt 'C m c m'
_space_group_IT_number 63
_space_group_name_Hall '-C 2c 2'
loop_
_atom_site_label
_atom_site_type_symbol
_atom_site_fract_x
_atom_site_fract_y
_atom_site_fract_z
Sc1 Sc 0.000 0.055 0.250
Sc2 Sc 0.000 0.375 0.049
Se1 Se 0.000 0.251 0.750
N1 N 0.000 0.000 0.000
```


Model 2:
Sc3SeN: relaxed, PBE.

DOS(E_F), states/eV/atom: 0.624
Mass density, g/cm3: 4.019
Volume, Å³/f.u.: 94.1

CIF file:
```
data_Sc3SeN
_cell_length_a 3.436
_cell_length_b 17.146
_cell_length_c 6.391
_cell_angle_alpha 90.00
_cell_angle_beta 90.00
_cell_angle_gamma 90.00
_space_group_name_H-M_alt 'C m c 21'
_space_group_IT_number 36
_space_group_name_Hall 'C 2c -2'
loop_
_atom_site_label
_atom_site_type_symbol
_atom_site_fract_x
_atom_site_fract_y
_atom_site_fract_z
Sc1 Sc 0.000 0.079 0.000
Sc2 Sc 0.000 0.262 0.618
Sc3 Sc 0.000 0.403 0.898
Se1 Se 0.000 0.344 0.267
N1 N 0.000 0.158 0.263
```


Model 3:
Sc3SeN: relaxed, PBE.

DOS(E_F), states/eV/atom: 1.288
Mass density, g/cm3: 4.449
Volume, Å³/f.u.: 85.0

CIF file:
```
data_Sc3SeN
_cell_length_a 4.398
_cell_length_b 4.398
_cell_length_c 4.398
_cell_angle_alpha 90.00
_cell_angle_beta 90.00
_cell_angle_gamma 90.00
_space_group_name_H-M_alt 'P m -3 m'
_space_group_IT_number 221
_space_group_name_Hall '-P 4 2 3'
loop_
_atom_site_label
_atom_site_type_symbol
_atom_site_fract_x
_atom_site_fract_y
_atom_site_fract_z
Sc1 Sc 0.000 0.000 0.500
Se1 Se 0.500 0.500 0.500
N1 N 0.000 0.000 0.000
```


Least stable: model 3


Model 1:
Sc4Se2N: relaxed, PBE.

DOS(E_F), states/eV/atom: 0.647
Mass density, g/cm3: 4.389
Volume, Å³/f.u.: 133.1

CIF file:
```
data_Sc4Se2N
_cell_length_a 13.643
_cell_length_b 3.516
_cell_length_c 6.226
_cell_angle_alpha 90.00
_cell_angle_beta 117.00
_cell_angle_gamma 90.00
_space_group_name_H-M_alt 'C 1 2/m 1'
_space_group_IT_number 12
_space_group_name_Hall '-C 2y'
loop_
_atom_site_label
_atom_site_type_symbol
_atom_site_fract_x
_atom_site_fract_y
_atom_site_fract_z
Sc1 Sc 0.101 0.000 0.460
Sc2 Sc 0.106 0.500 0.898
Se1 Se 0.234 0.000 0.242
N1 N 0.000 0.500 0.500
```


Model 2:
Sc4Se2N: relaxed, PBE.

DOS(E_F), states/eV/atom: 0.800
Mass density, g/cm3: 4.616
Volume, Å³/f.u.: 126.5

CIF file:
```
data_Sc4Se2N
_cell_length_a 4.206
_cell_length_b 4.206
_cell_length_c 14.307
_cell_angle_alpha 90.00
_cell_angle_beta 90.00
_cell_angle_gamma 90.00
_space_group_name_H-M_alt 'I 4/m m m'
_space_group_IT_number 139
_space_group_name_Hall '-I 4 2'
loop_
_atom_site_label
_atom_site_type_symbol
_atom_site_fract_x
_atom_site_fract_y
_atom_site_fract_z
Sc1 Sc 0.000 0.000 0.167
Sc2 Sc 0.000 0.500 0.000
Se1 Se 0.000 0.000 0.359
N1 N 0.000 0.000 0.000
```


Least stable: model 2


Model 1:
Sc2SeN: relaxed, PBE.

DOS(E_F), states/eV/atom: 0.514
Mass density, g/cm3: 4.883
Volume, Å³/f.u.: 62.2

CIF file:
```
data_Sc2SeN
_cell_length_a 3.4307
_cell_length_b 3.4307
_cell_length_c 12.2025
_cell_angle_alpha 90.00
_cell_angle_beta 90.00
_cell_angle_gamma 120.00
_space_group_name_H-M_alt 'P 63/m m c'
_space_group_IT_number 194
_space_group_name_Hall '-P 6c 2c'
loop_
_atom_site_label
_atom_site_type_symbol
_atom_site_fract_x
_atom_site_fract_y
_atom_site_fract_z
Sc1 Sc 0.3333 0.6667 0.0965
Se1 Se 0.3333 0.6667 0.7500
N1 N 0.0000 0.0000 0.0000
```


Model 2:
Sc2SeN: relaxed, PBE.

DOS(E_F), states/eV/atom: 0.887
Mass density, g/cm3: 3.139
Volume, Å³/f.u.: 96.7

CIF file:
```
data_Sc2SeN
_cell_length_a 4.1283
_cell_length_b 4.1283
_cell_length_c 19.6618
_cell_angle_alpha 90.00
_cell_angle_beta 90.00
_cell_angle_gamma 120.00
_space_group_name_H-M_alt 'R -3 m'
_space_group_IT_number 166
_space_group_name_Hall '-R 3 2"'
loop_
_atom_site_label
_atom_site_type_symbol
_atom_site_fract_x
_atom_site_fract_y
_atom_site_fract_z
Sc1 Sc 0.0000 0.0000 0.0942
Se1 Se 0.0000 0.0000 0.5000
N1 N 0.0000 0.0000 0.0000
```


Model 3:
Sc2SeN: relaxed, PBE.

DOS(E_F), states/eV/atom: 0.541
Mass density, g/cm3: 3.833
Volume, Å³/f.u.: 79.2

CIF file:
```
data_Sc2SeN
_cell_length_a 5.637
_cell_length_b 5.637
_cell_length_c 9.972
_cell_angle_alpha 90.00
_cell_angle_beta 90.00
_cell_angle_gamma 90.00
_space_group_name_H-M_alt 'I -4 2 d'
_space_group_IT_number 122
_space_group_name_Hall 'I -4 2bw'
loop_
_atom_site_label
_atom_site_type_symbol
_atom_site_fract_x
_atom_site_fract_y
_atom_site_fract_z
Sc1 Sc 0.169 0.250 0.125
Se1 Se 0.000 0.000 0.500
N1 N 0.000 0.000 0.000
```


Model 4:
Sc2SeN: relaxed, PBE.

DOS(E_F), states/eV/atom: 0.412
Mass density, g/cm3: 4.143
Volume, Å³/f.u.: 73.3

CIF file:
```
data_Sc2SeN
_cell_length_a 3.3907
_cell_length_b 3.3907
_cell_length_c 22.0853
_cell_angle_alpha 90.00
_cell_angle_beta 90.00
_cell_angle_gamma 120.00
_space_group_name_H-M_alt 'R -3 m'
_space_group_IT_number 166
_space_group_name_Hall '-R 3 2"'
loop_
_atom_site_label
_atom_site_type_symbol
_atom_site_fract_x
_atom_site_fract_y
_atom_site_fract_z
Sc1 Sc 0.0000 0.0000 0.1156
Se1 Se 0.0000 0.0000 0.0000
N1 N 0.0000 0.0000 0.5000
```


Least stable: model 2


Model 1:
Sc2SeN: relaxed, PBE.

DOS(E_F), states/eV/atom: 0.571
Mass density, g/cm3: 4.864
Volume, Å³/f.u.: 62.4

CIF file:
```
data_Sc2SeN
_cell_length_a 3.4124
_cell_length_b 3.4124
_cell_length_c 18.5714
_cell_angle_alpha 90.00
_cell_angle_beta 90.00
_cell_angle_gamma 120.00
_space_group_name_H-M_alt 'R 3 m'
_space_group_IT_number 160
_space_group_name_Hall 'R 3 -2"'
loop_
_atom_site_label
_atom_site_type_symbol
_atom_site_fract_x
_atom_site_fract_y
_atom_site_fract_z
Sc1 Sc 0.0000 0.0000 0.0000
Sc2 Sc 0.0000 0.0000 0.2050
Se1 Se 0.0000 0.0000 0.4363
N1 N 0.0000 0.0000 0.6068
```


Model 2:
Sc2SeN: relaxed, PBE.

DOS(E_F), states/eV/atom: 0.684
Mass density, g/cm3: 4.918
Volume, Å³/f.u.: 61.8

CIF file:
```
data_Sc2SeN
_cell_length_a 6.274
_cell_length_b 6.274
_cell_length_c 6.274
_cell_angle_alpha 90.00
_cell_angle_beta 90.00
_cell_angle_gamma 90.00
_space_group_name_H-M_alt 'F m -3 m'
_space_group_IT_number 225
_space_group_name_Hall '-F 4 2 3'
loop_
_atom_site_label
_atom_site_type_symbol
_atom_site_fract_x
_atom_site_fract_y
_atom_site_fract_z
Sc1 Sc 0.250 0.250 0.250
Se1 Se 0.000 0.000 0.000
N1 N 0.000 0.000 0.500
```


Least stable: model 2